1.
{"formula": "TbDy4Y3", "functional": "GGA-PBE", "state": "relaxed", "mass_density_g_cm3": 6.8, "dft_energy_ev_per_cell": -41.065, "spacegroup": "C2/m", "dos_ef_per_ev_cell": 14.7, "cell": [[11.730, -1.739, 0.000], [11.730, 1.739, 0.000], [-1.893, 0.000, 6.399]], "species": ["Tb", "Dy", "Dy", "Dy", "Dy", "Y", "Y", "Y"], "fractional_positions": [[0.000, 0.000, 0.000], [0.240, 0.240, 0.243], [0.375, 0.375, 0.631], [0.625, 0.625, 0.369], [0.760, 0.760, 0.757], [0.375, 0.375, 0.118], [0.500, 0.500, 0.500], [0.625, 0.625, 0.882]]}

2.
{"formula": "SmY2Ho6", "functional": "GGA-PBE", "state": "relaxed", "mass_density_g_cm3": 7.7, "dft_energy_ev_per_cell": -89.832, "spacegroup": "P4_2/mnm", "dos_ef_per_ev_cell": 23.0, "cell": [[10.637, 0.000, 0.000], [0.000, 10.637, 0.000], [0.000, 0.000, 5.021]], "species": ["Sm", "Sm", "Y", "Y", "Y", "Y", "Ho", "Ho", "Ho", "Ho", "Ho", "Ho", "Ho", "Ho", "Ho", "Ho", "Ho", "Ho"], "fractional_positions": [[0.000, 0.000, 0.000], [0.500, 0.500, 0.500], [0.167, 0.167, 0.500], [0.333, 0.667, 0.000], [0.667, 0.333, 0.000], [0.833, 0.833, 0.500], [0.000, 0.335, 0.000], [0.000, 0.665, 0.000], [0.165, 0.500, 0.500], [0.167, 0.833, 0.500], [0.333, 0.333, 0.000], [0.335, 0.000, 0.000], [0.500, 0.165, 0.500], [0.500, 0.835, 0.500], [0.665, 0.000, 0.000], [0.667, 0.667, 0.000], [0.833, 0.167, 0.500], [0.835, 0.500, 0.500]]}

3.
{"formula": "Cd2In12Ga5", "functional": "GGA-PBE", "state": "relaxed", "mass_density_g_cm3": 6.8, "dft_energy_ev_per_cell": -48.823, "spacegroup": "C2/m", "dos_ef_per_ev_cell": 7.0, "cell": [[10.532, -4.354, 0.000], [10.532, 4.354, 0.000], [-0.488, 0.000, 5.219]], "species": ["Cd", "Cd", "In", "In", "In", "In", "In", "In", "In", "In", "In", "In", "In", "In", "Ga", "Ga", "Ga", "Ga", "Ga"], "fractional_positions": [[0.197, 0.803, 0.000], [0.803, 0.197, 0.000], [0.085, 0.499, 0.780], [0.123, 0.123, 0.023], [0.187, 0.635, 0.435], [0.365, 0.813, 0.565], [0.422, 0.422, 0.924], [0.499, 0.085, 0.780], [0.501, 0.915, 0.220], [0.578, 0.578, 0.076], [0.635, 0.187, 0.435], [0.813, 0.365, 0.565], [0.877, 0.877, 0.977], [0.915, 0.501, 0.220], [0.000, 0.000, 0.500], [0.187, 0.187, 0.554], [0.304, 0.304, 0.272], [0.696, 0.696, 0.728], [0.813, 0.813, 0.446]]}

4.
{"formula": "AcOsN", "functional": "GGA-PBE", "state": "relaxed", "mass_density_g_cm3": 11.0, "e_form_raw_ev_per_atom": 0.1576, "spacegroup": "Cmcm", "dos_ef_per_ev_cell": 4.0, "cell": [[1.685, -9.624, 0.000], [1.685, 9.624, 0.000], [0.000, 0.000, 4.019]], "species": ["Ac", "Ac", "Os", "Os", "N", "N"], "fractional_positions": [[0.152, 0.848, 0.750], [0.848, 0.152, 0.250], [0.036, 0.964, 0.250], [0.964, 0.036, 0.750], [0.403, 0.597, 0.750], [0.597, 0.403, 0.250]]}

5.
{"formula": "SrZn2Ni", "functional": "GGA-PBE", "state": "relaxed", "mass_density_g_cm3": 5.4, "dft_energy_ev_per_cell": -8.750, "spacegroup": "C2/m", "dos_ef_per_ev_cell": 1.9, "cell": [[2.777, -5.052, 0.000], [2.777, 5.052, 0.000], [-2.621, 0.000, 3.040]], "species": ["Sr", "Zn", "Zn", "Ni"], "fractional_positions": [[0.000, 0.000, 0.000], [0.000, 0.500, 0.500], [0.500, 0.000, 0.500], [0.500, 0.500, 0.000]]}

6.
{"formula": "Er3Zn7Au4", "functional": "GGA-PBE", "state": "relaxed", "mass_density_g_cm3": 11.0, "dft_energy_ev_per_cell": -42.797, "spacegroup": "C2/m", "dos_ef_per_ev_cell": 7.0, "cell": [[7.871, -2.206, 0.000], [7.871, 2.206, 0.000], [-5.124, 0.000, 7.565]], "species": ["Er", "Er", "Er", "Zn", "Zn", "Zn", "Zn", "Zn", "Zn", "Zn", "Au", "Au", "Au", "Au"], "fractional_positions": [[0.000, 0.000, 0.000], [0.293, 0.293, 0.290], [0.707, 0.707, 0.710], [0.000, 0.000, 0.500], [0.139, 0.139, 0.428], [0.334, 0.334, 0.984], [0.498, 0.498, 0.672], [0.502, 0.502, 0.328], [0.666, 0.666, 0.016], [0.861, 0.861, 0.572], [0.126, 0.126, 0.843], [0.345, 0.345, 0.713], [0.655, 0.655, 0.287], [0.874, 0.874, 0.157]]}

7.
{"formula": "ZrMnSb2", "functional": "GGA-PBE", "state": "relaxed", "mass_density_g_cm3": 7.3, "e_form_raw_ev_per_atom": -0.2171, "spacegroup": "C2/m", "dos_ef_per_ev_cell": 5.1, "cell": [[6.506, -2.005, 0.000], [6.506, 2.005, 0.000], [-4.464, 0.000, 6.826]], "species": ["Zr", "Zr", "Mn", "Mn", "Sb", "Sb", "Sb", "Sb"], "fractional_positions": [[0.135, 0.135, 0.004], [0.865, 0.865, 0.996], [0.209, 0.209, 0.392], [0.791, 0.791, 0.608], [0.176, 0.176, 0.689], [0.444, 0.444, 0.763], [0.556, 0.556, 0.237], [0.824, 0.824, 0.311]]}

8.
{"formula": "ZnIn2N", "functional": "GGA-PBE", "state": "relaxed", "mass_density_g_cm3": 7.0, "e_form_raw_ev_per_atom": 0.8989, "spacegroup": "Fm-3m", "dos_ef_per_ev_cell": 2.8, "cell": [[0.000, 3.328, 3.328], [3.328, 0.000, 3.328], [3.328, 3.328, 0.000]], "species": ["Zn", "In", "In", "N"], "fractional_positions": [[0.000, 0.000, 0.000], [0.250, 0.250, 0.250], [0.750, 0.750, 0.750], [0.500, 0.500, 0.500]]}

9.
{"formula": "Cs2HoGe2S6", "functional": "GGA-PBE", "state": "relaxed", "mass_density_g_cm3": 3.6, "e_form_raw_ev_per_atom": -0.9125, "spacegroup": "C2/m", "dos_ef_per_ev_cell": 2.7, "cell": [[6.289, -3.630, 0.000], [6.289, 3.630, 0.000], [-4.136, 0.000, 7.828]], "species": ["Cs", "Cs", "Ho", "Ge", "Ge", "S", "S", "S", "S", "S", "S"], "fractional_positions": [[0.215, 0.215, 0.149], [0.785, 0.785, 0.851], [0.000, 0.000, 0.500], [0.392, 0.392, 0.670], [0.608, 0.608, 0.330], [0.239, 0.239, 0.727], [0.242, 0.754, 0.733], [0.246, 0.758, 0.267], [0.754, 0.242, 0.733], [0.758, 0.246, 0.267], [0.761, 0.761, 0.273]]}

10.
{"formula": "Sm6Sb3Te", "functional": "GGA-PBE", "state": "relaxed", "mass_density_g_cm3": 6.9, "e_form_raw_ev_per_atom": -0.8570, "spacegroup": "Cmc2_1", "dos_ef_per_ev_cell": 19.5, "cell": [[5.844, -7.453, 0.000], [5.844, 7.453, 0.000], [0.000, 0.000, 7.686]], "species": ["Sm", "Sm", "Sm", "Sm", "Sm", "Sm", "Sm", "Sm", "Sm", "Sm", "Sm", "Sm", "Sb", "Sb", "Sb", "Sb", "Sb", "Sb", "Te", "Te"], "fractional_positions": [[0.005, 0.995, 0.500], [0.090, 0.550, 0.478], [0.248, 0.752, 0.876], [0.286, 0.377, 0.911], [0.377, 0.286, 0.411], [0.450, 0.910, 0.478], [0.550, 0.090, 0.978], [0.623, 0.714, 0.911], [0.714, 0.623, 0.411], [0.752, 0.248, 0.376], [0.910, 0.450, 0.978], [0.995, 0.005, 0.000], [0.079, 0.281, 0.237], [0.281, 0.079, 0.737], [0.412, 0.588, 0.601], [0.588, 0.412, 0.101], [0.719, 0.921, 0.237], [0.921, 0.719, 0.737], [0.168, 0.832, 0.244], [0.832, 0.168, 0.744]]}

11.
{"formula": "ZrSbI2Br", "functional": "GGA-PBE", "state": "relaxed", "mass_density_g_cm3": 5.0, "e_form_raw_ev_per_atom": 0.9519, "spacegroup": "P4/mmm", "dos_ef_per_ev_cell": 5.2, "cell": [[5.581, 0.000, 0.000], [0.000, 5.581, 0.000], [0.000, 0.000, 5.786]], "species": ["Zr", "Sb", "I", "I", "Br"], "fractional_positions": [[0.000, 0.000, 0.000], [0.500, 0.500, 0.000], [0.000, 0.500, 0.500], [0.500, 0.000, 0.500], [0.500, 0.500, 0.500]]}

12.
{"formula": "LiLuHf", "functional": "GGA-PBE", "state": "relaxed", "mass_density_g_cm3": 8.6, "dft_energy_ev_per_cell": -15.863, "spacegroup": "I4mm", "dos_ef_per_ev_cell": 3.6, "cell": [[-1.639, 1.639, 6.491], [1.639, -1.639, 6.491], [1.639, 1.639, -6.491]], "species": ["Li", "Lu", "Hf"], "fractional_positions": [[0.000, 0.000, 0.000], [0.678, 0.678, 0.000], [0.342, 0.342, 0.000]]}